First-principles (GGA-PBE) data for BaAc2Tl9 after structural relaxation, as listed in Alexandria via LeMat-Bulk.

Output
- energy relative to the elements (meV per atom) = -291.5
- DOS at the Fermi energy (states/eV per cell) = 6.40
- calculated volume (A^3/atom) = 32.256

```
BaAc2Tl9
1.0
5.049 0.000 0.000
0.000 5.049 0.000
0.000 0.000 15.185
Ac Tl Ba
2 9 1
direct
0.000 0.000 0.662 Ac
0.000 0.000 0.338 Ac
0.500 0.000 0.171 Tl
0.000 0.500 0.500 Tl
0.000 0.500 0.171 Tl
0.500 0.000 0.500 Tl
0.500 0.500 0.332 Tl
0.500 0.500 0.000 Tl
0.500 0.000 0.829 Tl
0.500 0.500 0.668 Tl
0.000 0.500 0.829 Tl
0.000 0.000 0.000 Ba
```

First-principles (GGA-PBE) data for Ac5Co2Hg2 after structural relaxation, as listed in Alexandria via LeMat-Bulk.

Output
- energy relative to the elements (meV per atom) = -152.5
- DOS at the Fermi energy (states/eV per cell) = 6.95
- calculated volume (A^3/atom) = 32.657

```
Ac5Co2Hg2
1.0
-5.276 -2.384 -1.193
1.347 -4.585 3.203
-3.794 1.081 8.309
Ac Co Hg
5 2 2
direct
0.500 0.838 0.324 Ac
0.000 0.000 0.000 Ac
0.049 0.335 0.331 Ac
0.500 0.162 0.676 Ac
0.951 0.665 0.669 Ac
0.996 0.840 0.320 Co
0.004 0.160 0.680 Co
0.643 0.442 0.116 Hg
0.357 0.558 0.884 Hg
```

First-principles (GGA-PBE) data for NaCaIN2 after structural relaxation, as listed in Alexandria via LeMat-Bulk.

Output
- excess energy over the best structure of this formula in the dataset (eV/atom) = 0.443
- formation energy without anion corrections (eV/atom) = 1.02
- DOS at the Fermi energy (states/eV per cell) = 4.10
- calculated volume (A^3/atom) = 23.660

```
NaCaIN2
1.0
-2.484 -0.334 3.888
1.580 -4.300 0.640
4.264 1.998 2.896
Na I Ca N
1 1 1 2
direct
0.000 0.000 0.000 Na
0.000 0.000 0.500 I
0.500 0.500 0.500 Ca
0.500 0.000 0.000 N
0.000 0.500 0.000 N
```

First-principles (GGA-PBE) data for SnHg2S4 after structural relaxation, as listed in Alexandria via LeMat-Bulk.

Output
- formation energy without anion corrections (eV/atom) = -0.22
- calculated volume (A^3/atom) = 27.721

```
SnHg2S4
1.0
-1.663 -4.955 -4.532
4.223 -0.325 5.470
-3.692 2.494 5.292
Hg S Sn
2 4 1
direct
0.500 0.750 0.250 Hg
0.500 0.250 0.750 Hg
0.000 0.138 0.640 S
0.000 0.640 0.138 S
0.498 0.360 0.360 S
0.502 0.862 0.862 S
0.000 0.500 0.500 Sn
```

First-principles (GGA-PBE) data for Cs2ScS2 after structural relaxation, as listed in Alexandria via LeMat-Bulk.

Output
- formation energy without anion corrections (eV/atom) = -1.31
- DOS at the Fermi energy (states/eV per cell) = 5.92
- calculated volume (A^3/atom) = 46.960

```
Cs2ScS2
1.0
5.905 0.000 -2.539
-2.151 9.909 -5.004
0.360 -1.842 8.973
Cs S Sc
4 4 2
direct
0.636 0.944 0.272 Cs
0.364 0.056 0.728 Cs
0.864 0.671 0.728 Cs
0.136 0.329 0.272 Cs
0.596 0.469 0.193 S
0.404 0.531 0.807 S
0.904 0.276 0.807 S
0.096 0.724 0.193 S
0.250 0.500 0.000 Sc
0.750 0.500 0.000 Sc
```

First-principles (GGA-PBE) data for RePBr after structural relaxation, as listed in Alexandria via LeMat-Bulk.

Output
- excess energy over the best structure of this formula in the dataset (eV/atom) = 1.186
- formation energy without anion corrections (eV/atom) = 1.40
- DOS at the Fermi energy (states/eV per cell) = 1.46
- calculated volume (A^3/atom) = 17.996

```
RePBr
1.0
-2.018 3.476 1.358
0.160 1.080 4.100
2.221 3.405 1.211
Br P Re
1 1 1
direct
0.500 0.500 0.500 Br
0.750 0.750 0.750 P
0.000 0.000 0.000 Re
```

First-principles (GGA-PBE) data for TbCdIn2Te4 after structural relaxation, as listed in Alexandria via LeMat-Bulk.

Output
- formation energy without anion corrections (eV/atom) = -0.60
- DOS at the Fermi energy (states/eV per cell) = 2.39
- calculated volume (A^3/atom) = 32.070

```
TbCdIn2Te4
1.0
4.394 0.000 0.000
0.000 7.974 -0.208
0.000 2.760 7.250
In Tb Cd Te
2 1 1 4
direct
0.500 0.000 0.500 In
0.000 0.000 0.000 In
0.000 0.500 0.500 Tb
0.500 0.500 0.000 Cd
0.500 0.263 0.737 Te
0.500 0.737 0.263 Te
0.000 0.267 0.245 Te
0.000 0.733 0.755 Te
```

First-principles (GGA-PBE) data for Ti3CdIn after structural relaxation, as listed in Alexandria via LeMat-Bulk.

Output
- energy relative to the elements (meV per atom) = 246.6
- excess energy over the best structure of this formula in the dataset (eV/atom) = 0.000
- DOS at the Fermi energy (states/eV per cell) = 11.74
- calculated volume (A^3/atom) = 19.556

```
Ti3CdIn
1.0
2.845 0.000 0.000
0.000 9.858 -1.674
0.000 -6.171 8.021
Ti In Cd
6 2 2
direct
0.500 0.500 0.000 Ti
0.500 0.693 0.601 Ti
0.500 0.754 0.365 Ti
0.500 0.246 0.635 Ti
0.500 0.000 0.000 Ti
0.500 0.307 0.399 Ti
0.000 0.393 0.202 In
0.000 0.607 0.798 In
0.500 0.915 0.220 Cd
0.500 0.085 0.780 Cd
```

First-principles (GGA-PBE) data for Rb5Sc2O5 after structural relaxation, as listed in Alexandria via LeMat-Bulk.

Output
- formation energy without anion corrections (eV/atom) = -1.96
- DOS at the Fermi energy (states/eV per cell) = 1.03
- calculated volume (A^3/atom) = 30.146

```
Rb5Sc2O5
1.0
3.637 0.000 0.696
0.893 8.720 5.183
-0.853 5.336 14.310
Rb O Sc
5 5 2
direct
0.500 0.500 0.500 Rb
0.664 0.998 0.673 Rb
0.336 0.002 0.327 Rb
0.612 0.766 0.009 Rb
0.388 0.234 0.991 Rb
0.555 0.634 0.256 O
0.000 0.000 0.000 O
0.075 0.120 0.730 O
0.445 0.366 0.744 O
0.925 0.880 0.270 O
0.987 0.231 0.794 Sc
0.013 0.769 0.206 Sc
```

First-principles (GGA-PBE) data for KCu2AgCl4 after structural relaxation, as listed in Alexandria via LeMat-Bulk.

Output
- formation energy without anion corrections (eV/atom) = -0.83
- DOS at the Fermi energy (states/eV per cell) = 0.00
- calculated volume (A^3/atom) = 26.587

```
KCu2AgCl4
1.0
-6.047 -2.660 -1.545
-3.919 -2.441 4.644
-5.439 3.647 0.111
Cl Cu Ag K
4 2 1 1
direct
0.061 0.857 0.513 Cl
0.939 0.487 0.143 Cl
0.431 0.143 0.487 Cl
0.569 0.513 0.857 Cl
0.835 0.665 0.665 Cu
0.165 0.335 0.335 Cu
0.500 0.500 0.500 Ag
0.000 0.000 0.000 K
```

First-principles (GGA-PBE) data for Ce3SiIr after structural relaxation, as listed in Alexandria via LeMat-Bulk.

Output
- formation energy without anion corrections (eV/atom) = -0.58
- DOS at the Fermi energy (states/eV per cell) = 46.12
- calculated volume (A^3/atom) = 23.211

```
Ce3SiIr
1.0
6.561 0.000 0.000
0.000 8.901 -0.550
0.000 -3.995 8.195
Ce Ir Si
12 4 4
direct
0.500 0.199 0.886 Ce
0.000 0.699 0.886 Ce
0.000 0.110 0.317 Ce
0.000 0.890 0.683 Ce
0.500 0.801 0.114 Ce
0.000 0.287 0.674 Ce
0.000 0.301 0.114 Ce
0.500 0.390 0.683 Ce
0.000 0.713 0.326 Ce
0.500 0.213 0.326 Ce
0.500 0.610 0.317 Ce
0.500 0.787 0.674 Ce
0.234 0.500 0.000 Ir
0.766 0.500 0.000 Ir
0.734 0.000 0.000 Ir
0.266 0.000 0.000 Ir
0.683 0.000 0.500 Si
0.817 0.500 0.500 Si
0.317 0.000 0.500 Si
0.183 0.500 0.500 Si
```

First-principles (GGA-PBE) data for KAl3Ge after structural relaxation, as listed in Alexandria via LeMat-Bulk.

Output
- energy relative to the elements (meV per atom) = 1669.8
- excess energy over the best structure of this formula in the dataset (eV/atom) = 1.149
- DOS at the Fermi energy (states/eV per cell) = 3.89
- calculated volume (A^3/atom) = 34.698

```
KAl3Ge
1.0
5.577 0.000 0.000
0.000 5.577 0.000
0.000 0.000 5.577
K Al Ge
1 3 1
direct
0.000 0.000 0.000 K
0.000 0.500 0.000 Al
0.500 0.000 0.000 Al
0.000 0.000 0.500 Al
0.500 0.500 0.500 Ge
```

First-principles (GGA-PBE) data for La12Dy5Tm2 after structural relaxation, as listed in Alexandria via LeMat-Bulk.

Output
- energy relative to the elements (meV per atom) = 154.7
- excess energy over the best structure of this formula in the dataset (eV/atom) = 0.058
- DOS at the Fermi energy (states/eV per cell) = 30.90
- calculated volume (A^3/atom) = 34.923

```
La12Dy5Tm2
1.0
-0.495 -4.981 5.748
8.248 -2.749 -6.726
9.566 1.941 2.505
La Dy Tm
12 5 2
direct
0.089 0.679 0.476 La
0.911 0.321 0.524 La
0.933 0.330 0.165 La
0.486 0.971 0.685 La
0.590 0.679 0.476 La
0.396 0.330 0.165 La
0.001 0.002 0.793 La
0.999 0.998 0.207 La
0.514 0.029 0.315 La
0.410 0.321 0.524 La
0.604 0.670 0.835 La
0.067 0.670 0.835 La
0.323 0.647 0.163 Dy
0.000 0.000 0.500 Dy
0.173 0.345 0.821 Dy
0.677 0.353 0.837 Dy
0.827 0.655 0.179 Dy
0.302 0.000 0.000 Tm
0.698 0.000 0.000 Tm
```

First-principles (GGA-PBE) data for Zn3Se after structural relaxation, as listed in Alexandria via LeMat-Bulk.

Output
- excess energy over the best structure of this formula in the dataset (eV/atom) = 0.000
- formation energy without anion corrections (eV/atom) = -0.17
- DOS at the Fermi energy (states/eV per cell) = 1.62
- calculated volume (A^3/atom) = 18.901

```
Zn3Se
1.0
7.256 0.000 0.025
0.000 12.082 0.000
-2.523 0.000 3.441
Zn Se
12 4
direct
0.106 0.825 0.287 Zn
0.242 0.035 0.398 Zn
0.507 0.024 0.167 Zn
0.606 0.675 0.287 Zn
0.742 0.465 0.398 Zn
0.007 0.976 0.667 Zn
0.507 0.524 0.667 Zn
0.242 0.535 0.898 Zn
0.007 0.476 0.167 Zn
0.106 0.325 0.787 Zn
0.742 0.965 0.898 Zn
0.606 0.175 0.787 Zn
0.520 0.282 0.203 Se
0.020 0.218 0.203 Se
0.020 0.718 0.703 Se
0.520 0.782 0.703 Se
```